The following is a DFT calculation (GGA-PBE) of Tc2TeCl after structural relaxation.

a b c (Å): 3.758 3.758 9.319
angles (deg): 79.32 79.32 47.47
Fractional positions:
1 Cl 0.258 0.258 0.160
2 Tc 0.044 0.044 0.798
3 Tc 0.761 0.761 0.959
4 Te 0.437 0.437 0.583

Output
Fermi-level density of states: 0.356 states/eV/atom
Offset from the most stable computed form: 0 meV per atom
Formation energy without anion corrections: -32 meV per atom
Spin magnetization: 0.00 Bohr magnetons per cell
Crystal system: monoclinic